# 1
# Cs2Te2H2I (GGA-PBE, relaxed)
data_Cs2Te2H2I
_cell_length_a 9.0754
_cell_length_b 6.5928
_cell_length_c 10.6579
_cell_angle_alpha 90.00
_cell_angle_beta 98.65
_cell_angle_gamma 90.00
_symmetry_space_group_name_H-M 'C 1 2/m 1'
_symmetry_Int_Tables_number 12
_symmetry_space_group_name_Hall '-C 2y'
loop_
_atom_site_label
_atom_site_fract_x
_atom_site_fract_y
_atom_site_fract_z
Cs1 0.1036 0.0000 0.3037
Te1 0.2233 0.0000 0.9815
H1 0.0892 0.5000 0.0002
I1 0.0000 0.5000 0.5000
# Uncorrected energy (eV/atom): -2.89
# ρ (g cm⁻³): 3.4
# M_tot (μB/f.u.): 0.000

# 2
# CsTeHI2 (GGA-PBE, relaxed)
data_CsTeHI2
_cell_length_a 6.4043
_cell_length_b 6.4043
_cell_length_c 4.0542
_cell_angle_alpha 90.00
_cell_angle_beta 90.00
_cell_angle_gamma 90.00
_symmetry_space_group_name_H-M 'P 4/m m m'
_symmetry_Int_Tables_number 123
_symmetry_space_group_name_Hall '-P 4 2'
loop_
_atom_site_label
_atom_site_fract_x
_atom_site_fract_y
_atom_site_fract_z
Cs1 0.0000 0.0000 0.0000
Te1 0.5000 0.5000 0.0000
H1 0.5000 0.5000 0.5000
I1 0.0000 0.5000 0.5000
# Uncorrected energy (eV/atom): -2.33
# E above lowest polymorph (meV/atom): 0
# ρ (g cm⁻³): 5.1
# M_tot (μB/f.u.): 0.194